No. 1
! PBE-GGA RbInP2O, optimized geometry; values from VASP
&SYSTEM
  ibrav = 0, nat = 5, ntyp = 4
/
ATOMIC_SPECIES
Rb 85.47 Rb.upf
O 16.00 O.upf
P 30.97 P.upf
In 114.82 In.upf
ATOMIC_POSITIONS angstrom
Rb 0.000 0.000 0.000
O 0.000 0.000 2.543
P 3.017 0.000 0.000
In 3.017 3.017 2.543
P 0.000 3.017 0.000
CELL_PARAMETERS angstrom
6.033 0.000 0.000
0.000 6.033 0.000
0.000 0.000 5.085
! excess energy over the best structure of this formula in the dataset = 1112.9 meV per atom
! space group = P4/mmm, No. 123
! formation energy (no corrections) = 1396.1 meV/atom
! E_tot = -2.501 eV/atom
! total magnetization = 5.31 μB per cell

=====

No. 2
! PBE-GGA In2Pd5Pt3, optimized geometry; values from VASP
&SYSTEM
  ibrav = 0, nat = 20, ntyp = 3
/
ATOMIC_SPECIES
Pt 195.08 Pt.upf
Pd 106.42 Pd.upf
In 114.82 In.upf
ATOMIC_POSITIONS angstrom
Pt 1.347 0.000 0.000
Pd 6.733 4.214 3.210
Pt 8.080 6.604 2.146
Pt 4.040 0.000 0.000
In 5.386 7.960 0.383
Pd 2.693 4.261 0.733
Pd 6.733 6.332 4.824
Pd 5.386 6.590 2.507
Pd 1.347 2.095 1.596
Pd 8.080 4.166 5.688
Pd 4.040 2.095 1.596
Pt 5.386 4.606 0.624
Pd 9.426 6.332 4.824
In 5.386 0.467 6.038
In 8.080 2.482 7.573
Pd 4.040 4.214 3.210
Pt 5.386 3.822 5.797
In 2.693 5.945 -1.152
Pd 5.386 1.837 3.914
Pt 2.693 1.823 4.275
CELL_PARAMETERS angstrom
5.386 0.000 0.000
2.693 8.188 -2.006
2.693 0.239 8.427
! formation enthalpy at 0 K = 0.02 eV/atom
! space group = Ibam, No. 72
! E_tot = -4.938 eV/atom
! total magnetization = 0.00 μB per cell

=====

No. 3
! PBE-GGA Mo2IBr2, optimized geometry; values from VASP
&SYSTEM
  ibrav = 0, nat = 5, ntyp = 3
/
ATOMIC_SPECIES
Mo 95.94 Mo.upf
I 126.90 I.upf
Br 79.90 Br.upf
ATOMIC_POSITIONS angstrom
Mo -3.701 1.542 4.547
Mo -5.146 -0.373 3.183
I 0.000 0.000 0.000
Br -2.869 0.528 2.298
Br -5.979 0.641 5.432
CELL_PARAMETERS angstrom
-0.803 3.510 1.505
-3.692 -0.320 -1.222
-4.353 -2.020 7.447
! space group = I4/mmm, No. 139
! formation energy (no corrections) = 426.1 meV/atom
! E_tot = -4.886 eV/atom
! total magnetization = 0.53 μB per cell

=====

No. 4
! PBE-GGA CsKPd, optimized geometry; values from VASP
&SYSTEM
  ibrav = 0, nat = 6, ntyp = 3
/
ATOMIC_SPECIES
Pd 106.42 Pd.upf
Cs 132.91 Cs.upf
K 39.10 K.upf
ATOMIC_POSITIONS angstrom
Pd 1.228 5.140 9.097
Cs 1.228 1.025 2.921
K 3.683 4.040 0.754
Pd 3.683 0.480 0.087
Cs 3.683 4.594 6.263
K 1.228 1.580 8.430
CELL_PARAMETERS angstrom
4.911 0.000 0.000
0.000 6.351 -0.870
0.000 -0.731 10.054
! formation enthalpy at 0 K = 0.02 eV/atom
! excess energy over the best structure of this formula in the dataset = 0.0 meV per atom
! space group = P2_1/m, No. 11
! E_tot = -2.359 eV/atom
! total magnetization = 0.00 μB per cell

=====

No. 5
! PBE-GGA BeP2Br, optimized geometry; values from VASP
&SYSTEM
  ibrav = 0, nat = 4, ntyp = 3
/
ATOMIC_SPECIES
Br 79.90 Br.upf
Be 9.01 Be.upf
P 30.97 P.upf
ATOMIC_POSITIONS angstrom
Br 1.580 2.517 1.489
Be 3.015 3.172 0.000
P 5.303 5.580 0.000
P 4.196 -1.196 1.528
CELL_PARAMETERS angstrom
6.158 0.014 0.040
-0.299 6.151 -0.040
-0.555 -5.340 3.017
! excess energy over the best structure of this formula in the dataset = 431.5 meV per atom
! space group = Imm2, No. 44
! formation energy (no corrections) = 198.5 meV/atom
! E_tot = -3.856 eV/atom
! total magnetization = 0.62 μB per cell

=====

No. 6
! PBE-GGA La2SiOs, optimized geometry; values from VASP
&SYSTEM
  ibrav = 0, nat = 4, ntyp = 3
/
ATOMIC_SPECIES
Os 190.23 Os.upf
La 138.91 La.upf
Si 28.09 Si.upf
ATOMIC_POSITIONS angstrom
Os 1.858 1.787 1.819
La 0.000 3.574 3.551
La 0.000 3.669 0.187
Si 1.858 5.360 5.458
CELL_PARAMETERS angstrom
3.716 0.000 0.000
0.000 3.669 0.099
0.000 3.478 7.178
! space group = Pmmm, No. 47
! formation energy (no corrections) = -123.3 meV/atom
! E_tot = -6.750 eV/atom
! total magnetization = 0.00 μB per cell

=====

No. 7
! PBE-GGA Pu2TlI, optimized geometry; values from VASP
&SYSTEM
  ibrav = 0, nat = 4, ntyp = 3
/
ATOMIC_SPECIES
I 126.90 I.upf
Pu 244.00 Pu.upf
Tl 204.38 Tl.upf
ATOMIC_POSITIONS angstrom
I 5.425 3.132 2.215
Pu 8.137 4.698 3.322
Tl 0.000 0.000 0.000
Pu 2.712 1.566 1.109
CELL_PARAMETERS angstrom
5.425 0.000 0.000
2.712 4.698 0.000
2.712 1.566 4.431
! excess energy over the best structure of this formula in the dataset = 144.5 meV per atom
! space group = Fm-3m, No. 225
! formation energy (no corrections) = -93.7 meV/atom
! E_tot = -8.239 eV/atom
! total magnetization = 11.92 μB per cell

=====

No. 8
! PBE-GGA SrVFe2, optimized geometry; values from VASP
&SYSTEM
  ibrav = 0, nat = 8, ntyp = 3
/
ATOMIC_SPECIES
V 50.94 V.upf
Sr 87.62 Sr.upf
Fe 55.84 Fe.upf
ATOMIC_POSITIONS angstrom
V 1.201 -5.536 3.489
V -0.797 -3.305 0.000
Sr -2.035 -4.755 4.184
Sr 0.000 0.000 0.000
Fe 0.202 -4.421 1.745
Fe -1.017 -2.378 2.092
Fe -1.434 -7.523 5.928
Fe 0.582 -6.261 5.580
CELL_PARAMETERS angstrom
-4.033 -2.525 0.695
2.439 -4.086 -0.694
0.760 -3.680 7.672
! formation enthalpy at 0 K = 0.75 eV/atom
! excess energy over the best structure of this formula in the dataset = 0.0 meV per atom
! space group = I4_1/amd, No. 141
! E_tot = -6.179 eV/atom
! total magnetization = 3.91 μB per cell

=====

No. 9
! PBE-GGA Y2ZrRe, optimized geometry; values from VASP
&SYSTEM
  ibrav = 0, nat = 4, ntyp = 3
/
ATOMIC_SPECIES
Zr 91.22 Zr.upf
Y 88.91 Y.upf
Re 186.21 Re.upf
ATOMIC_POSITIONS angstrom
Zr -9.538 -10.970 -2.559
Y -0.315 -0.362 -0.085
Re -14.846 -17.075 -3.983
Y -4.800 -5.521 -1.288
CELL_PARAMETERS angstrom
-7.792 -6.763 -0.482
-6.642 -7.028 -3.628
-5.232 -8.828 -1.167
! formation enthalpy at 0 K = 0.25 eV/atom
! excess energy over the best structure of this formula in the dataset = 215.1 meV per atom
! space group = R3m, No. 160
! E_tot = -8.235 eV/atom
! total magnetization = 0.00 μB per cell

=====

No. 10
! PBE-GGA Tb12Co6Hg, optimized geometry; values from VASP
&SYSTEM
  ibrav = 0, nat = 19, ntyp = 3
/
ATOMIC_SPECIES
Tb 158.93 Tb.upf
Co 58.93 Co.upf
Hg 200.59 Hg.upf
ATOMIC_POSITIONS angstrom
Tb 2.811 6.273 1.327
Co 3.425 3.503 0.774
Co 2.161 -1.528 4.195
Co -0.632 0.447 6.067
Tb 4.978 -1.221 4.769
Tb 0.608 3.159 1.327
Tb 2.185 0.791 5.514
Tb 2.775 0.336 2.072
Tb -2.185 5.171 2.072
Tb 5.604 1.962 0.745
Tb -2.811 1.987 6.096
Tb -0.608 0.430 3.399
Tb 0.018 3.614 4.769
Co -2.161 2.869 3.421
Co 4.954 1.081 3.421
Tb -0.018 -2.323 5.514
Co 0.632 5.478 2.647
Hg 0.000 0.000 0.000
Tb 3.401 3.520 3.442
CELL_PARAMETERS angstrom
8.379 0.000 0.000
-2.793 7.900 0.000
-2.793 -3.950 6.841
! formation enthalpy at 0 K = -0.22 eV/atom
! space group = Im-3, No. 204
! E_tot = -5.408 eV/atom
! total magnetization = 0.00 μB per cell

=====

No. 11
! PBE-GGA CsTiPdS2, optimized geometry; values from VASP
&SYSTEM
  ibrav = 0, nat = 10, ntyp = 4
/
ATOMIC_SPECIES
S 32.06 S.upf
Pd 106.42 Pd.upf
Cs 132.91 Cs.upf
Ti 47.87 Ti.upf
ATOMIC_POSITIONS angstrom
S 1.749 0.000 1.534
Pd 0.000 3.019 0.000
S 1.749 0.000 5.858
Pd 0.000 0.000 0.000
S 3.812 3.019 1.534
S 3.812 3.019 5.858
Cs 1.198 3.019 3.696
Cs 4.363 0.000 3.696
Ti 2.781 1.510 0.000
Ti 2.781 4.529 0.000
CELL_PARAMETERS angstrom
5.561 0.000 0.000
0.000 6.038 0.000
0.000 -3.019 7.392
! space group = Cmme, No. 67
! formation energy (no corrections) = -1098.6 meV/atom
! E_tot = -5.538 eV/atom
! total magnetization = 1.94 μB per cell

=====

No. 12
! PBE-GGA SrZn3Rh, optimized geometry; values from VASP
&SYSTEM
  ibrav = 0, nat = 20, ntyp = 3
/
ATOMIC_SPECIES
Zn 65.41 Zn.upf
Sr 87.62 Sr.upf
Rh 102.91 Rh.upf
ATOMIC_POSITIONS angstrom
Zn -7.531 -4.417 7.438
Sr -3.522 -4.077 0.247
Zn -3.443 -0.533 11.317
Zn -2.640 -1.279 1.494
Rh -3.514 -2.441 9.490
Zn -6.678 -4.122 4.774
Sr -6.599 -0.578 15.843
Zn -0.318 1.886 13.696
Rh -2.829 1.284 13.113
Zn -5.933 -2.982 8.890
Rh -7.292 -5.939 2.977
Zn -4.188 -1.673 7.200
Sr -6.530 -1.778 11.679
Zn -2.590 -0.238 8.652
Zn -8.690 -4.440 12.290
Rh -6.607 -2.214 6.601
Zn -9.803 -6.541 2.394
Zn -1.431 -0.216 3.801
Sr -3.591 -2.877 4.412
Zn -7.481 -3.376 14.597
CELL_PARAMETERS angstrom
0.791 2.537 14.198
-6.486 -1.001 4.867
-4.426 -6.191 -2.975
! formation enthalpy at 0 K = -0.26 eV/atom
! excess energy over the best structure of this formula in the dataset = 90.8 meV per atom
! space group = C2/c, No. 15
! E_tot = -2.827 eV/atom
! total magnetization = 0.00 μB per cell

=====

Please write out number 8 again, unchanged.
! PBE-GGA SrVFe2, optimized geometry; values from VASP
&SYSTEM
  ibrav = 0, nat = 8, ntyp = 3
/
ATOMIC_SPECIES
V 50.94 V.upf
Sr 87.62 Sr.upf
Fe 55.84 Fe.upf
ATOMIC_POSITIONS angstrom
V 1.201 -5.536 3.489
V -0.797 -3.305 0.000
Sr -2.035 -4.755 4.184
Sr 0.000 0.000 0.000
Fe 0.202 -4.421 1.745
Fe -1.017 -2.378 2.092
Fe -1.434 -7.523 5.928
Fe 0.582 -6.261 5.580
CELL_PARAMETERS angstrom
-4.033 -2.525 0.695
2.439 -4.086 -0.694
0.760 -3.680 7.672
! formation enthalpy at 0 K = 0.75 eV/atom
! excess energy over the best structure of this formula in the dataset = 0.0 meV per atom
! space group = I4_1/amd, No. 141
! E_tot = -6.179 eV/atom
! total magnetization = 3.91 μB per cell

=====

> total magnetization of number 6 (La2SiOs)?

0.00 μB per cell

=====

> Which formula does entry 10 have?

Tb12Co6Hg

=====

What did the ninth record say?
! PBE-GGA Y2ZrRe, optimized geometry; values from VASP
&SYSTEM
  ibrav = 0, nat = 4, ntyp = 3
/
ATOMIC_SPECIES
Zr 91.22 Zr.upf
Y 88.91 Y.upf
Re 186.21 Re.upf
ATOMIC_POSITIONS angstrom
Zr -9.538 -10.970 -2.559
Y -0.315 -0.362 -0.085
Re -14.846 -17.075 -3.983
Y -4.800 -5.521 -1.288
CELL_PARAMETERS angstrom
-7.792 -6.763 -0.482
-6.642 -7.028 -3.628
-5.232 -8.828 -1.167
! formation enthalpy at 0 K = 0.25 eV/atom
! excess energy over the best structure of this formula in the dataset = 215.1 meV per atom
! space group = R3m, No. 160
! E_tot = -8.235 eV/atom
! total magnetization = 0.00 μB per cell